No. 1
Below is FeBN3 at its PBEsol-relaxed geometry, with properties calculated at the SCAN level.

a = 3.316 Å, b = 3.316 Å, c = 3.316 Å
α = 90.00°, β = 90.00°, γ = 90.00°
Fractional coordinates of all 5 atoms:
Fe1 0.000 0.000 0.000
B1 0.500 0.500 0.500
N1 0.000 0.500 0.500
N2 0.500 0.000 0.500
N3 0.500 0.500 0.000

Properties
Space group: Pm-3m, No. 221
ΔE_f (raw), meV per atom: 1347

---

No. 2
Below is Zr2ZnPt at its PBEsol-relaxed geometry, with properties calculated at the SCAN level.

a = 4.621 Å, b = 4.621 Å, c = 4.621 Å
α = 60.00°, β = 60.00°, γ = 60.00°
Fractional coordinates of all 4 atoms:
Zr1 0.000 0.000 0.000
Zr2 0.250 0.250 0.250
Zn1 0.750 0.750 0.750
Pt1 0.500 0.500 0.500

Properties
Space group: F-43m, No. 216
Final energy, eV for the cell shown: -147.17

---

No. 3
Below is Ta2WAu at its PBEsol-relaxed geometry, with properties calculated at the SCAN level.

a = 3.297 Å, b = 3.297 Å, c = 6.220 Å
α = 90.00°, β = 90.00°, γ = 90.00°
Fractional coordinates of all 4 atoms:
Ta1 0.000 0.000 0.237
Ta2 0.000 0.000 0.763
W1 0.500 0.500 0.000
Au1 0.500 0.500 0.500

Properties
Space group: P4/mmm, No. 123
Distance to the lowest polymorph of the same formula, eV/atom: 0.000

---

No. 4
Below is TaRe at its PBEsol-relaxed geometry, with properties calculated at the SCAN level.

a = 5.275 Å, b = 5.275 Å, c = 6.336 Å
α = 107.61°, β = 107.61°, γ = 34.93°
Fractional coordinates of all 6 atoms:
Ta1 0.000 0.000 0.000
Ta2 0.005 0.005 0.508
Ta3 0.327 0.327 0.168
Re1 0.335 0.335 0.669
Re2 0.667 0.667 0.339
Re3 0.667 0.667 0.835

Properties
Space group: Cm, No. 8
Final energy, eV for the cell shown: -415.08

---

Please write out number 2 again, unchanged.
Below is Zr2ZnPt at its PBEsol-relaxed geometry, with properties calculated at the SCAN level.

a = 4.621 Å, b = 4.621 Å, c = 4.621 Å
α = 60.00°, β = 60.00°, γ = 60.00°
Fractional coordinates of all 4 atoms:
Zr1 0.000 0.000 0.000
Zr2 0.250 0.250 0.250
Zn1 0.750 0.750 0.750
Pt1 0.500 0.500 0.500

Properties
Space group: F-43m, No. 216
Final energy, eV for the cell shown: -147.17